LaS2NCl at its PBEsol-relaxed geometry, computed with SCAN.

Calculated volume = 34.91 Å³ per atom
Total moment = 5.0 μB/f.u.
E = -15.85 eV/atom
Formation energy without anion corrections = 0.4 eV per formula unit
Polymorph energy (0 for the lowest one) = 0 meV per atom

Geometry as extended XYZ:
```
5
Lattice="5.533 0.000 0.000 0.000 5.617 0.000 0.000 0.000 5.617" Properties=species:S:1:pos:R:3 pbc="T T T"
S 0.000 0.000 2.808
S 0.000 2.808 0.000
N 2.767 2.808 2.808
Cl 2.767 0.000 0.000
La 0.000 0.000 0.000
```